# 1
VASP calculation (PBE) on Zn2InCoCu after structural relaxation.

abc: 4.9404 4.9404 4.8944
angles: 90.00 90.00 90.00
Last column: nearest neighbours and their distance in Å.
Space group P4/mmm (No. 123)
Inequivalent atoms, fractional coordinates:
Zn1 0.0000 0.5000 0.0000 [2 per cell]  2 In 2.47
In1 0.0000 0.0000 0.0000 [1 per cell]  2 Co 2.45, 4 Zn 2.47
Co1 0.0000 0.0000 0.5000 [1 per cell]  2 In 2.45
Cu1 0.5000 0.5000 0.5000 [1 per cell]  8 Zn 3.48, 4 Co 3.49

Properties
Calculated volume ... 119.5 Å³/cell



# 2
VASP calculation (PBE) on KCdGa2Pt after structural relaxation.

abc: 4.9166 4.9166 5.3561
angles: 90.00 90.00 90.00
Last column: nearest neighbours and their distance in Å.
Space group P4/mmm (No. 123)
Inequivalent atoms, fractional coordinates:
K1 0.0000 0.0000 0.0000 [1 per cell]  4 Cd 3.48, 8 Ga 3.64
Cd1 0.5000 0.5000 0.0000 [1 per cell]  2 Pt 2.68
Ga1 0.0000 0.5000 0.5000 [2 per cell]  2 Pt 2.46
Pt1 0.5000 0.5000 0.5000 [1 per cell]  4 Ga 2.46, 2 Cd 2.68

Properties
Calculated volume ... 129.5 Å³/cell



no.,spin magnetization (μB per atom),VASP energy (eV/cell),ΔH_f (0 K) (eV per atom)
1,0.367,-10.5,1.192
2,0.000,-15.5,-0.278